# 1
! GGA-PBE Li2ZnHgF8, optimized geometry; values from VASP
! - total magnetic moment (μB per atom) = 0.07
! - formation energy (no corrections) (eV/atom) = -1.925
&SYSTEM
  ibrav = 0, nat = 12, ntyp = 4
/
ATOMIC_SPECIES
F 19.00 F.upf
Li 6.94 Li.upf
Zn 65.41 Zn.upf
Hg 200.59 Hg.upf
ATOMIC_POSITIONS crystal
F 0.299 0.295 0.000
F 0.802 0.200 0.245
F 0.199 0.797 0.219
F 0.198 0.800 0.755
F 0.701 0.705 0.000
Li 0.491 0.509 0.223
F 0.321 0.318 0.500
F 0.801 0.203 0.781
Li 0.509 0.491 0.777
F 0.679 0.682 0.500
Zn 0.000 0.000 0.000
Hg 0.000 0.000 0.500
CELL_PARAMETERS angstrom
-0.884 4.420 1.346
-4.569 -1.054 -0.342
-0.365 -2.456 6.309

---

# 2
! GGA-PBE LiZnHg2F8, optimized geometry; values from VASP
! - total magnetic moment (μB per atom) = 0.07
! - formation energy (no corrections) (eV/atom) = -1.644
&SYSTEM
  ibrav = 0, nat = 12, ntyp = 4
/
ATOMIC_SPECIES
F 19.00 F.upf
Li 6.94 Li.upf
Hg 200.59 Hg.upf
Zn 65.41 Zn.upf
ATOMIC_POSITIONS crystal
F 0.508 0.714 0.795
F 0.962 0.263 0.300
F 0.737 0.038 0.700
Li 0.000 0.000 0.000
Hg 0.500 0.500 0.000
F 0.919 0.714 0.205
Hg 0.750 0.250 0.500
Zn 0.250 0.750 0.500
F 0.286 0.492 0.205
F 0.962 0.662 0.700
F 0.338 0.038 0.300
F 0.286 0.081 0.795
CELL_PARAMETERS angstrom
6.075 1.015 0.000
-1.785 5.895 0.000
-2.145 -3.455 4.626